Material: La3TlCr
Method: DFT, PBE
State: optimized geometry

Cell and atoms, written as extended XYZ:
```
5
Lattice="5.312 0.000 0.000 0.000 5.312 0.000 0.000 0.000 5.312" Properties=species:S:1:pos:R:3 pbc="T T T"
La 0.000 0.000 2.656
La 0.000 2.656 0.000
La 2.656 0.000 0.000
Tl 2.656 2.656 2.656
Cr 0.000 0.000 0.000
```

The value obtained for the calculated formation energy is 46 kJ/mol of formula units. The total magnetization comes out at 0.00 μB/cell. The value obtained for the volume is 149.9 Å³/cell. The density of states at the Fermi level comes out at 1.6137 states/eV per atom.